Record 1
## TlSn4Au3 (GGA-PBE)

Data for a relaxed TlSn4Au3 crystal.

Unit cell a=4.9539 b=4.9539 c=8.5622 alpha=90.00 beta=90.00 gamma=90.00
Atoms (fractional coordinates):
Tl 0.0000 0.0000 0.0000
Sn 0.0000 0.5000 0.3127
Sn 0.0000 0.5000 0.6873
Sn 0.5000 0.0000 0.3127
Sn 0.5000 0.0000 0.6873
Au 0.0000 0.0000 0.5000
Au 0.5000 0.5000 0.1604
Au 0.5000 0.5000 0.8396

Spin magnetization, Bohr magnetons per cell: 0.0
D(E_F), states/eV/f.u.: 4.37
DFT total energy, eV per atom: -3.618

Record 2
## AlSb2Pb (GGA-PBE)

Data for a relaxed AlSb2Pb crystal.

Unit cell a=6.3360 b=6.3360 c=3.2133 alpha=100.43 beta=100.43 gamma=118.23
Atoms (fractional coordinates):
Al 0.0000 0.0000 0.0000
Sb 0.0000 0.5000 0.5000
Sb 0.5000 0.0000 0.5000
Pb 0.5000 0.5000 0.0000

ΔE to the lowest computed polymorph, meV/atom: 187.6
Spin magnetization, Bohr magnetons per cell: 0.0
D(E_F), states/eV/f.u.: 1.78
Raw formation energy, eV per formula unit: 0.927

Record 3
## TiCrTcIr (GGA-PBE)

Data for a relaxed TiCrTcIr crystal.

Unit cell a=4.3300 b=4.3300 c=4.3300 alpha=60.00 beta=60.00 gamma=60.00
Atoms (fractional coordinates):
Ti 0.0000 0.0000 0.0000
Cr 0.5000 0.5000 0.5000
Tc 0.7500 0.7500 0.7500
Ir 0.2500 0.2500 0.2500

Spin magnetization, Bohr magnetons per cell: 2.0
D(E_F), states/eV/f.u.: 4.22
DFT total energy, eV per atom: -9.549

Record 4
## PrErMg2Tl4 (GGA-PBE)

Data for a relaxed PrErMg2Tl4 crystal.

Unit cell a=9.3537 b=9.3537 c=9.3537 alpha=32.69 beta=32.69 gamma=32.69
Atoms (fractional coordinates):
Pr 0.0000 0.0000 0.0000
Er 0.5000 0.5000 0.5000
Mg 0.2494 0.2494 0.2494
Mg 0.7506 0.7506 0.7506
Tl 0.1271 0.1271 0.1271
Tl 0.3794 0.3794 0.3794
Tl 0.6206 0.6206 0.6206
Tl 0.8729 0.8729 0.8729

Spin magnetization, Bohr magnetons per cell: 0.0
D(E_F), states/eV/f.u.: 4.09
DFT total energy, eV per atom: -2.969

- What is the D(E_F) in the second record?
  1.78 states/eV/f.u.